## HfTcNiB (PBE)

Data for an optimized crystal structure of HfTcNiB.

**Distance to the lowest polymorph of the same formula**: 0.521 eV/atom
**Raw total energy**: -7.60 eV per atom
**Calculated density**: 10.51 g/cm³
**V**: 55 Å³/f.u.

Unit cell a=6.0255 b=6.0255 c=6.0255 alpha=90.00 beta=90.00 gamma=90.00
Space group F-43m (No. 216)
Asymmetric unit:
Hf (0.0000, 0.0000, 0.0000) x4
Tc (0.2500, 0.2500, 0.7500) x4
Ni (0.0000, 0.0000, 0.5000) x4
B (0.2500, 0.2500, 0.2500) x4